RbTl2Pd3: relaxed, PBE.

Unit cell a=4.178 b=8.388 c=10.306 alpha=111.13 beta=101.68 gamma=104.47
Positions (direct):
Rb 0.128 0.268 0.987
Tl 0.677 0.136 0.218
Pd 0.364 0.312 0.414
Tl 0.483 0.282 0.684
Pd 0.787 0.098 0.476
Pd 0.213 0.902 0.524
Pd 0.058 0.482 0.633
Pd 0.942 0.518 0.367
Pd 0.636 0.688 0.586
Tl 0.323 0.864 0.782
Tl 0.517 0.718 0.316
Rb 0.872 0.732 0.013

Formation energy = -0.14 eV per atom
DOS(E_F) = 4.42 states/eV/cell
Theoretical density = 8.8 g/cm3
Magnetization = 0.0 Bohr magnetons per cell
Space group = C2/m